Entry 1:
## SrHoCo2Si2 (PBE-GGA)

Data for a geometry-optimized SrHoCo2Si2 structure.

Lattice parameters (Å, degrees): 3.9363 3.9363 7.3767 90.00 90.00 90.00
Element x y z (fractional)
Co 0.5000 0.0000 0.9890
Co 0.0000 0.5000 0.9890
Ho 0.5000 0.5000 0.7056
Si 0.5000 0.5000 0.1537
Si 0.0000 0.0000 0.8250
Sr 0.0000 0.0000 0.3377

**Raw total energy**: -34.7 eV for the cell shown
**SG**: P4mm, No. 99



Entry 2:
## Ho2ErCo7Ni2 (PBE-GGA)

Data for a geometry-optimized Ho2ErCo7Ni2 structure.

Lattice parameters (Å, degrees): 8.6298 8.6298 8.6298 32.96 32.96 32.96
Element x y z (fractional)
Co 0.5820 0.5820 0.0813
Co 0.9187 0.4180 0.4180
Co 0.4180 0.9187 0.4180
Co 0.5000 0.5000 0.5000
Co 0.5820 0.0813 0.5820
Co 0.0813 0.5820 0.5820
Co 0.4180 0.4180 0.9187
Er 0.0000 0.0000 0.0000
Ho 0.1395 0.1395 0.1395
Ho 0.8605 0.8605 0.8605
Ni 0.3335 0.3335 0.3335
Ni 0.6665 0.6665 0.6665

**DFT formation energy**: -0.24 eV/atom
**SG**: R-3m, No. 166